The following is a DFT calculation (PBE-GGA) of a relaxed structure of AlInMo2.

Cell: 5.578 8.724 2.783 Å, 90.00 90.00 90.00°
Space group Cmmm (No. 65)
Asymmetric unit:
Al: 0.000 0.000 0.000 (multiplicity 2)
In: 0.000 0.500 0.000 (multiplicity 2)
Mo: 0.250 0.250 0.500 (multiplicity 4)

Calculated values
Density of states at the Fermi level   2.7 states/eV/f.u.
Theoretical density   8.18 g/cm³
ΔH_f (0 K)   1.05 eV/f.u.
Calculated volume   16.93 Å³/atom
Polymorph energy (0 for the lowest one)   241 meV/atom